Computed, not measured: a relaxed Zn3NiO crystal at the PBE with a Hubbard U level of DFT.

Values from the calculation:
Distance to the lowest polymorph of the same formula (meV per atom): 532
Symmetry: Pm-3m
Raw total energy (eV/cell): -7.6
Spin magnetization (μB/atom): 0.000

Lattice parameters (Å, degrees): 4.4436 4.4436 4.4436 90.00 90.00 90.00
Fractional positions:
O 0.5000 0.5000 0.5000
Zn 0.5000 0.0000 0.0000
Zn 0.0000 0.0000 0.5000
Zn 0.0000 0.5000 0.0000
Ni 0.0000 0.0000 0.0000